(1)
Computed, not measured: a geometry-optimized Rb2BBr6Cl structure at the GGA-PBE level of DFT.

Cell: 7.898 7.898 7.898 Å, 120.59 120.59 88.99°
Fractional coordinates of all 10 atoms:
Rb  0.250  0.750  0.500
Rb  0.750  0.250  0.500
B  0.000  0.000  0.000
Br  0.197  0.197  0.393
Br  0.197  0.803  0.000
Br  0.283  0.283  0.000
Br  0.717  0.717  0.000
Br  0.803  0.197  0.000
Br  0.803  0.803  0.607
Cl  0.500  0.500  0.000

Uncorrected energy (eV per cell): -26.6

***

(2)
Computed, not measured: a geometry-optimized BSe2BrCl structure at the GGA-PBE level of DFT.

Cell: 4.582 4.582 4.635 Å, 90.00 90.00 90.00°
Fractional coordinates of all 5 atoms:
B  0.000  0.000  0.000
Se  0.000  0.500  0.000
Se  0.500  0.000  0.000
Br  0.000  0.000  0.500
Cl  0.500  0.500  0.500

Uncorrected energy (eV per cell): -13.3
Relative energy among the computed polymorphs (meV/atom): 0

***

(3)
Computed, not measured: a geometry-optimized BSe2BrCl structure at the GGA-PBE level of DFT.

Cell: 4.779 4.779 7.299 Å, 90.00 90.00 90.00°
Fractional coordinates of all 5 atoms:
B  0.000  0.000  0.000
Se  0.000  0.500  0.500
Se  0.500  0.000  0.500
Br  0.500  0.500  0.000
Cl  0.500  0.500  0.500

Uncorrected energy (eV per cell): -9.5
Relative energy among the computed polymorphs (meV/atom): 764

***

(4)
Computed, not measured: a geometry-optimized TcB2BrCl structure at the GGA-PBE level of DFT.

Cell: 4.083 4.083 5.993 Å, 90.00 90.00 90.00°
Fractional coordinates of all 5 atoms:
Tc  0.000  0.000  0.000
B  0.000  0.500  0.500
B  0.500  0.000  0.500
Br  0.500  0.500  0.500
Cl  0.500  0.500  0.000

Uncorrected energy (eV per cell): -15.6